Material: ThNi4Bi
Method: DFT, PBE
State: optimized geometry

Properties
The value obtained for the density of states at the Fermi level is 5.183 states/eV per cell. For the calculated formation energy, the calculation gives -0.2273 eV per atom. Its space group is F-43m, No. 216. Its volume is 16.257 A^3/atom.

Unit cell a=5.1670 b=5.1670 c=5.1670 alpha=60.00 beta=60.00 gamma=60.00
Closest atoms and distances in Å follow each position.
Fractional coordinates of all 6 atoms:
Th 0.0000 0.0000 0.0000  12 Ni 3.03, 4 Bi 3.16
Ni 0.3749 0.3749 0.3749  6 Ni 2.58-2.59
Ni 0.3749 0.3749 0.8753  6 Ni 2.58-2.59
Ni 0.3749 0.8753 0.3749  6 Ni 2.58-2.59
Ni 0.8753 0.3749 0.3749  6 Ni 2.58-2.59
Bi 0.7500 0.7500 0.7500  12 Ni 3.03, 4 Th 3.16